(1)
The following is a PBE calculation of a relaxed RbCaPd3 crystal, from the Alexandria database.

a = 5.245 Å, b = 5.245 Å, c = 5.245 Å
α = 90.00°, β = 90.00°, γ = 90.00°
Positions (direct):
Ca 0.000 0.000 0.000
Rb 0.500 0.500 0.500
Pd 0.000 0.500 0.000
Pd 0.000 0.000 0.500
Pd 0.500 0.000 0.000

Results
M_tot in Bohr magnetons per cell: 0.0
SG: Pm-3m
Volume in Å³ per atom: 28.9
Energy relative to the lowest polymorph listed for this composition in eV/f.u.: 0.000
Formation energy from the elements in eV/atom: 0.360

---

(2)
The following is a PBE calculation of a relaxed SrCu2Ni crystal, from the Alexandria database.

a = 4.184 Å, b = 4.184 Å, c = 5.702 Å
α = 68.46°, β = 68.46°, γ = 59.98°
Positions (direct):
Sr 0.751 0.751 0.748
Cu 0.939 0.939 0.182
Cu 0.247 0.247 0.257
Ni 0.562 0.562 0.313

Results
M_tot in Bohr magnetons per cell: 0.0
SG: Cm
Volume in Å³ per atom: 19.6
Formation energy from the elements in eV/atom: -0.070

---

(3)
The following is a PBE calculation of a relaxed Ca2ZnAgSe crystal, from the Alexandria database.

a = 5.525 Å, b = 5.050 Å, c = 5.525 Å
α = 90.00°, β = 90.00°, γ = 90.00°
Positions (direct):
Zn 0.500 0.500 0.500
Ca 0.000 0.000 0.500
Ca 0.500 0.000 0.000
Se 0.000 0.000 0.000
Ag 0.000 0.500 0.000

Results
M_tot in Bohr magnetons per cell: 0.0
SG: P4/mmm
Energy in eV/atom: -2.681
Volume in Å³ per atom: 30.8

---

(4)
The following is a PBE calculation of a relaxed Tb2Sm4ThMg crystal, from the Alexandria database.

a = 5.894 Å, b = 9.428 Å, c = 5.890 Å
α = 51.36°, β = 90.00°, γ = 90.00°
Positions (direct):
Tb 0.000 0.000 0.000
Tb 0.500 0.000 0.500
Sm 0.000 0.740 0.760
Sm 0.000 0.260 0.240
Sm 0.500 0.739 0.260
Sm 0.500 0.261 0.740
Th 0.000 0.500 0.500
Mg 0.500 0.500 0.000

Results
M_tot in Bohr magnetons per cell: 0.0
SG: P4/mmm
Volume in Å³ per atom: 32.0
Formation energy from the elements in eV/atom: 0.102

---

(5)
The following is a PBE calculation of a relaxed BeAgSb crystal, from the Alexandria database.

a = 7.117 Å, b = 4.197 Å, c = 4.632 Å
α = 116.97°, β = 90.01°, γ = 90.01°
Positions (direct):
Be 0.443 0.697 0.218
Be 0.943 0.089 0.999
Ag 0.961 0.400 0.623
Ag 0.461 0.386 0.595
Sb 0.099 0.712 0.245
Sb 0.599 0.075 0.973

Results
M_tot in Bohr magnetons per cell: 0.0
SG: P2_1
Energy in eV/atom: -3.377
Volume in Å³ per atom: 20.6

---

(6)
The following is a PBE calculation of a relaxed Y8Te4Se3S crystal, from the Alexandria database.

a = 8.380 Å, b = 8.479 Å, c = 8.380 Å
α = 119.61°, β = 120.00°, γ = 90.00°
Positions (direct):
Y 0.229 0.710 0.981
Y 0.229 0.710 0.458
Y 0.262 0.285 0.523
Y 0.752 0.710 0.981
Y 0.248 0.290 0.019
Y 0.738 0.715 0.477
Y 0.771 0.290 0.542
Y 0.771 0.290 0.019
Te 0.500 0.000 0.000
Te 0.500 0.000 0.500
Te 0.000 0.000 0.000
Te 0.000 0.000 0.500
Se 0.500 0.500 0.000
Se 0.500 0.500 0.500
Se 0.000 0.500 0.500
S 0.000 0.500 0.000

Results
M_tot in Bohr magnetons per cell: 0.0
SG: R-3m
Energy in eV/atom: -6.515
Volume in Å³ per atom: 26.5

---

(7)
The following is a PBE calculation of a relaxed BiSeF2 crystal, from the Alexandria database.

a = 4.144 Å, b = 5.595 Å, c = 6.983 Å
α = 90.00°, β = 90.00°, γ = 111.73°
Positions (direct):
Bi 0.266 0.533 0.250
Bi 0.734 0.467 0.750
Se 0.972 0.944 0.250
Se 0.028 0.056 0.750
F 0.313 0.626 0.571
F 0.687 0.374 0.429
F 0.687 0.374 0.071
F 0.313 0.626 0.929

Results
M_tot in Bohr magnetons per cell: 0.0
SG: Cmcm
Volume in Å³ per atom: 18.8
Energy relative to the lowest polymorph listed for this composition in eV/f.u.: 0.000

---

(8)
The following is a PBE calculation of a relaxed TlCrTe2 crystal, from the Alexandria database.

a = 6.564 Å, b = 5.369 Å, c = 4.294 Å
α = 79.46°, β = 69.22°, γ = 118.00°
Each line ends with the local moment (μB).
Positions (direct):
Cr 0.500 0.500 0.000  4.00
Te 0.000 0.000 0.000  -0.07
Te 0.500 0.000 0.500  -0.07
Tl 0.000 0.500 0.500  0.00

Results
M_tot in Bohr magnetons per cell: 4.4
SG: C2/m
Energy in eV/atom: -4.337
Volume in Å³ per atom: 28.3

---

(9)
The following is a PBE calculation of a relaxed YPuTe2O crystal, from the Alexandria database.

a = 4.165 Å, b = 4.165 Å, c = 15.595 Å
α = 90.00°, β = 90.00°, γ = 90.00°
Each line ends with the local moment (μB).
Positions (direct):
Y 0.500 0.000 0.131  -0.02
Y 0.000 0.500 0.869  -0.02
Pu 0.500 0.000 0.569  -4.95
Pu 0.000 0.500 0.431  -4.95
Te 0.000 0.500 0.682  0.08
Te 0.000 0.500 0.085  0.00
Te 0.500 0.000 0.915  0.00
Te 0.500 0.000 0.318  0.08
O 0.000 0.000 0.500  0.14
O 0.500 0.500 0.500  0.14

Results
M_tot in Bohr magnetons per cell: 9.7
SG: P4/nmm
Energy in eV/atom: -8.270
Volume in Å³ per atom: 27.0

---

(10)
The following is a PBE calculation of a relaxed TbNi2Sn crystal, from the Alexandria database.

a = 4.022 Å, b = 3.550 Å, c = 5.561 Å
α = 90.00°, β = 90.00°, γ = 90.00°
Positions (direct):
Tb 0.500 0.500 0.000
Ni 0.000 0.000 0.218
Ni 0.000 0.000 0.782
Sn 0.500 0.000 0.500

Results
M_tot in Bohr magnetons per cell: 0.0
SG: Pmmm
Volume in Å³ per atom: 19.9
Formation energy from the elements in eV/atom: -0.270

---

(11)
The following is a PBE calculation of a relaxed HoTl2Se2 crystal, from the Alexandria database.

a = 4.055 Å, b = 4.056 Å, c = 11.126 Å
α = 83.13°, β = 79.50°, γ = 60.01°
Positions (direct):
Ho 0.000 0.500 0.500
Tl 0.545 0.776 0.134
Tl 0.455 0.224 0.866
Se 0.735 0.180 0.351
Se 0.265 0.820 0.649

Results
M_tot in Bohr magnetons per cell: 0.0
SG: C2/m
Energy in eV/atom: -4.258
Volume in Å³ per atom: 31.1

---

(12)
The following is a PBE calculation of a relaxed Cd2SeF crystal, from the Alexandria database.

a = 5.625 Å, b = 5.625 Å, c = 7.528 Å
α = 68.06°, β = 68.06°, γ = 90.00°
Positions (direct):
F 0.500 0.500 0.000
F 0.250 0.750 0.500
Se 0.000 0.000 0.000
Se 0.750 0.250 0.500
Cd 0.580 0.125 0.250
Cd 0.170 0.625 0.250
Cd 0.375 0.420 0.750
Cd 0.875 0.830 0.750

Results
M_tot in Bohr magnetons per cell: 0.0
SG: I-42d
Volume in Å³ per atom: 25.3
Energy relative to the lowest polymorph listed for this composition in eV/f.u.: 0.084